VASP calculation (PBE) on a relaxed structure of Ac5Nd2Y2.

Geometry as extended XYZ:
```
9
Lattice="5.5916 0.0000 -2.0324 -1.1226 6.6013 -3.0886 0.3981 -0.1882 9.8036" Properties=species:S:1:pos:R:3 pbc="T T T"
Ac 2.4401 5.1078 -1.9950
Ac 2.4271 1.3054 6.6777
Ac 4.5675 2.6385 3.8584
Ac 0.2996 3.7747 0.8243
Ac 0.0000 0.0000 0.0000
Nd 3.3125 1.9681 0.4052
Nd 1.5547 4.4450 4.2774
Y 3.6637 5.5410 1.3717
Y 1.2034 0.8722 3.3109
```

Calculated values
formation energy = 105.5 meV/atom
DOS at the Fermi energy = 14.1 states/eV/f.u.
total moment = 0.000 μB/atom
DFT total energy = -4.67 eV/atom



VASP calculation (PBE) on a relaxed structure of TcTePb3.

Geometry as extended XYZ:
```
5
Lattice="-1.5250 4.7288 -1.9568 1.6566 -1.4757 -4.8573 -4.8421 -1.9942 -1.0456" Properties=species:S:1:pos:R:3 pbc="T T T"
Pb 0.8283 -0.7379 -2.4287
Pb -2.4211 -0.9971 -0.5228
Pb -0.7625 2.3644 -0.9784
Te -2.3552 0.6294 -3.9299
Tc 0.0000 0.0000 0.0000
```

Calculated values
DOS at the Fermi energy = 4.9 states/eV/f.u.
total moment = 0.000 μB/atom
DFT total energy = -4.70 eV/atom
E above lowest polymorph = 0.00 eV per formula unit
uncorrected formation energy = 225.1 meV per atom



VASP calculation (PBE) on a relaxed structure of InSi3Cl.

Geometry as extended XYZ:
```
5
Lattice="4.8378 0.0000 0.0000 0.0000 4.8378 0.0000 0.0000 0.0000 4.8378" Properties=species:S:1:pos:R:3 pbc="T T T"
Si 0.0000 2.4189 0.0000
Si 0.0000 0.0000 2.4189
Si 2.4189 0.0000 0.0000
Cl 0.0000 0.0000 0.0000
In 2.4189 2.4189 2.4189
```

Calculated values
DOS at the Fermi energy = 2.6 states/eV/f.u.
total moment = 0.000 μB/atom
DFT total energy = -3.13 eV/atom
E above lowest polymorph = 0.00 eV per formula unit
uncorrected formation energy = 1039.2 meV per atom



VASP calculation (PBE) on a relaxed structure of Sc3Ir2.

Geometry as extended XYZ:
```
5
Lattice="-2.9285 -1.0609 -3.2451 -0.6241 -1.5339 4.1821 -3.0318 4.5965 1.2334" Properties=species:S:1:pos:R:3 pbc="T T T"
Ir -2.6645 -0.4542 -0.5643
Ir -3.9200 2.4560 2.7347
Sc 0.0000 0.0000 0.0000
Sc -4.1588 1.8111 0.0436
Sc -2.4257 0.1906 2.1268
```

Calculated values
formation energy = -856.0 meV/atom
DOS at the Fermi energy = 3.8 states/eV/f.u.
total moment = 0.000 μB/atom
DFT total energy = -8.20 eV/atom
E above lowest polymorph = 0.00 eV per formula unit



VASP calculation (PBE) on a relaxed structure of Pm2Dy3Pd2.

Geometry as extended XYZ:
```
7
Lattice="3.6007 0.0030 0.9327 -0.8860 9.3992 3.4783 0.2552 1.5179 6.4379" Properties=species:S:1:pos:R:3 pbc="T T T"
Pm 0.8889 6.1906 3.9965
Pm 2.0810 4.7294 6.8525
Dy 0.0000 0.0000 0.0000
Dy 2.8576 3.1169 3.8121
Dy 0.1123 7.8032 7.0369
Pd 1.6703 9.8259 8.4426
Pd 1.2997 1.0942 2.4063
```

Calculated values
formation energy = -376.5 meV/atom
DOS at the Fermi energy = 8.5 states/eV/f.u.
total moment = 0.000 μB/atom
DFT total energy = -5.19 eV/atom
E above lowest polymorph = 0.97 eV per formula unit



VASP calculation (PBE) on a relaxed structure of TaAsPb2W.

Geometry as extended XYZ:
```
5
Lattice="5.3376 0.0000 0.0000 0.0000 4.8991 0.0000 0.0000 0.0000 5.3376" Properties=species:S:1:pos:R:3 pbc="T T T"
Pb 0.0000 0.0000 2.6688
Pb 2.6688 0.0000 0.0000
As 2.6688 2.4495 2.6688
W 0.0000 0.0000 0.0000
Ta 0.0000 2.4495 0.0000
```

Calculated values
formation energy = 1229.9 meV/atom
DOS at the Fermi energy = 3.3 states/eV/f.u.
total moment = 0.000 μB/atom
DFT total energy = -6.14 eV/atom



VASP calculation (PBE) on a relaxed structure of Nd8CoIr3Cl4.

Geometry as extended XYZ:
```
16
Lattice="8.1924 0.0000 0.0000 0.0000 8.8888 0.4813 -4.0962 -4.0890 5.7963" Properties=species:S:1:pos:R:3 pbc="T T T"
Nd -2.0988 2.2631 5.9718
Nd 0.0000 4.3578 3.0034
Nd 0.0000 0.4534 3.2126
Nd 2.0988 2.2631 5.9718
Nd 1.9974 2.5368 0.3058
Nd 4.0962 4.3465 3.0650
Nd 4.0962 0.4420 3.2742
Nd 6.1950 2.5368 0.3058
Co 0.0000 4.4444 0.2406
Ir 4.0962 4.4444 0.2406
Ir 2.0481 2.3999 3.1388
Ir -2.0481 2.3999 3.1388
Cl 4.0962 0.0000 0.0000
Cl 2.0481 -2.0445 2.8982
Cl 0.0000 0.0000 0.0000
Cl -2.0481 -2.0445 2.8982
```

Calculated values
DOS at the Fermi energy = 5.3 states/eV/f.u.
total moment = 0.000 μB/atom
DFT total energy = -6.05 eV/atom
uncorrected formation energy = -1094.3 meV per atom



VASP calculation (PBE) on a relaxed structure of MgScHPt2.

Geometry as extended XYZ:
```
5
Lattice="4.1174 0.0000 0.0000 0.0000 4.1174 0.0000 0.0000 0.0000 4.1392" Properties=species:S:1:pos:R:3 pbc="T T T"
Sc 0.0000 0.0000 2.0696
H 0.0000 0.0000 0.0000
Mg 2.0587 2.0587 2.0696
Pt 0.0000 2.0587 0.0000
Pt 2.0587 0.0000 0.0000
```

Calculated values
DOS at the Fermi energy = 2.9 states/eV/f.u.
total moment = 0.000 μB/atom
DFT total energy = -5.28 eV/atom



VASP calculation (PBE) on a relaxed structure of Zr4Cu2Tc.

Geometry as extended XYZ:
```
7
Lattice="-3.0014 -2.9511 -1.8765 1.4961 -3.9556 -1.8314 -1.3071 -5.6160 5.2634" Properties=species:S:1:pos:R:3 pbc="T T T"
Cu -2.1203 -9.4372 1.2552
Cu -0.6921 -3.0855 0.3002
Zr -1.8151 -8.1815 -1.2076
Zr -0.9973 -4.3411 2.7630
Zr -1.1178 -5.0745 -1.5500
Zr -1.6946 -7.4481 3.1054
Tc 0.0000 0.0000 0.0000
```

Calculated values
formation energy = -62.3 meV/atom
DOS at the Fermi energy = 8.7 states/eV/f.u.
total moment = 0.000 μB/atom
DFT total energy = -7.60 eV/atom



VASP calculation (PBE) on a relaxed structure of Ce4TcGe.

Geometry as extended XYZ:
```
12
Lattice="5.8250 -0.0033 -1.2978 -2.2953 6.6989 -2.6527 -0.0255 -0.3710 7.5527" Properties=species:S:1:pos:R:3 pbc="T T T"
Ce 3.3115 3.8440 3.3167
Ce -1.6801 6.1361 -0.1949
Ce 3.5095 1.2194 1.4545
Ce 0.8700 4.5563 -1.8565
Ce 2.6341 1.7683 5.4586
Ce -0.0053 5.1052 2.1476
Ce 5.1843 0.1885 3.7970
Ce 0.1927 2.4805 0.2854
Tc -0.8368 6.6910 -2.9669
Tc 4.3410 -0.3664 6.5690
Ge 2.9493 3.9684 0.3118
Ge 0.5549 2.3562 3.2903
```

Calculated values
formation energy = -327.7 meV/atom
DOS at the Fermi energy = 12.0 states/eV/f.u.
total moment = 0.000 μB/atom
DFT total energy = -6.78 eV/atom
E above lowest polymorph = 0.00 eV per formula unit



VASP calculation (PBE) on a relaxed structure of KMgAuF6.

Geometry as extended XYZ:
```
9
Lattice="6.0057 -0.0124 0.1592 2.9708 4.6583 0.0964 0.1573 -0.0039 5.6540" Properties=species:S:1:pos:R:3 pbc="T T T"
K 2.9644 4.6429 0.1038
Mg 6.0693 2.9281 2.9937
Au 3.0672 1.4981 2.9149
F 6.8774 1.8863 1.6463
F 5.1928 4.6282 3.9616
F 5.2725 1.8524 4.3192
F 1.9905 2.8975 3.8496
F 4.1339 2.9078 1.9843
F 6.9073 4.6438 2.0573
```

Calculated values
total moment = 0.000 μB/atom
DFT total energy = -4.14 eV/atom
uncorrected formation energy = -2226.6 meV per atom



VASP calculation (PBE) on a relaxed structure of GeIBr.

Geometry as extended XYZ:
```
6
Lattice="-2.0510 -6.0867 -3.3048 3.9306 -1.4930 0.3104 -1.0584 -1.2259 7.5064" Properties=species:S:1:pos:R:3 pbc="T T T"
Ge 0.5245 -4.4460 2.2650
Ge 3.3482 -2.0857 4.0594
I -0.7450 -1.9492 1.0310
I -2.2308 -5.4141 3.1811
Br 0.8967 -3.0597 4.7246
Br 0.2216 -5.8587 -0.1891
```

Calculated values
DOS at the Fermi energy = 0.0 states/eV/f.u.
total moment = 0.000 μB/atom
DFT total energy = -3.05 eV/atom
E above lowest polymorph = 0.00 eV per formula unit
uncorrected formation energy = -437.5 meV per atom



VASP calculation (PBE) on a relaxed structure of Nd2TlH.

Geometry as extended XYZ:
```
4
Lattice="3.4874 0.0000 0.0000 0.0000 3.4874 0.0000 0.0000 0.0000 7.7336" Properties=species:S:1:pos:R:3 pbc="T T T"
H 1.7437 1.7437 0.0000
Tl 1.7437 1.7437 3.8668
Nd 0.0000 0.0000 6.0813
Nd 0.0000 0.0000 1.6523
```

Calculated values
DOS at the Fermi energy = 3.9 states/eV/f.u.
total moment = 0.000 μB/atom
DFT total energy = -3.90 eV/atom
E above lowest polymorph = 1.40 eV per formula unit



VASP calculation (PBE) on a relaxed structure of La2ReMoRh.

Geometry as extended XYZ:
```
5
Lattice="5.5627 0.0000 0.0000 0.0000 4.6615 0.0000 0.0000 0.0000 5.5627" Properties=species:S:1:pos:R:3 pbc="T T T"
Re 0.0000 0.0000 0.0000
Mo 2.7813 2.3308 2.7813
Rh 0.0000 2.3308 0.0000
La 0.0000 0.0000 2.7813
La 2.7813 0.0000 0.0000
```

Calculated values
formation energy = 985.0 meV/atom
DOS at the Fermi energy = 4.7 states/eV/f.u.
total moment = 0.795 μB/atom
DFT total energy = -7.11 eV/atom



VASP calculation (PBE) on a relaxed structure of Nd3HoCd6.

Geometry as extended XYZ:
```
20
Lattice="5.2131 0.0000 0.0000 0.0000 9.0412 -2.6452 0.0000 0.2741 11.1978" Properties=species:S:1:pos:R:3 pbc="T T T"
Nd 1.3033 4.8708 2.9920
Nd 3.9098 4.4444 5.5606
Nd 1.3033 3.3499 7.8093
Nd 3.9098 5.9654 0.7433
Nd 1.3033 6.8947 -1.9881
Nd 3.9098 2.4206 10.5407
Ho 1.3033 8.7256 4.2270
Ho 3.9098 0.5897 4.3256
Cd 1.3033 4.1026 -0.2108
Cd 3.9098 5.2127 8.7634
Cd 1.3033 1.3908 1.6729
Cd 3.9098 7.9245 6.8798
Cd 1.3033 6.2664 6.1278
Cd 3.9098 3.0489 2.4249
Cd 1.3033 2.2097 4.7768
Cd 3.9098 7.1056 3.7758
Cd 1.3033 7.9380 1.1267
Cd 3.9098 1.3773 7.4259
Cd 1.3033 0.6729 9.8267
Cd 3.9098 8.6423 -1.2741
```

Calculated values
formation energy = -291.2 meV/atom
DOS at the Fermi energy = 8.3 states/eV/f.u.
total moment = 0.037 μB/atom
DFT total energy = -2.73 eV/atom



VASP calculation (PBE) on a relaxed structure of AlAgSn.

Geometry as extended XYZ:
```
6
Lattice="-2.2940 -2.3486 -2.2178 -4.4876 -3.6769 8.5360 -1.9288 2.3756 -0.5212" Properties=species:S:1:pos:R:3 pbc="T T T"
Al -4.6703 -2.4170 0.8245
Al -3.7111 0.3115 0.4813
Ag -3.2269 -1.7334 -1.3927
Ag -3.2261 -2.7472 3.2196
Sn -6.3183 -3.1783 3.3346
Sn -6.5463 -2.6088 6.5053
```

Calculated values
formation energy = 29.7 meV/atom
DOS at the Fermi energy = 0.8 states/eV/f.u.
total moment = 0.000 μB/atom
DFT total energy = -3.50 eV/atom



VASP calculation (PBE) on a relaxed structure of Li4Y3PaSe8.

Geometry as extended XYZ:
```
16
Lattice="8.1243 0.0000 0.0000 0.0000 8.0394 -0.0685 -4.0621 -4.0578 5.7463" Properties=species:S:1:pos:R:3 pbc="T T T"
Li 4.0621 0.0000 0.0000
Li 2.0311 -2.0289 2.8732
Li 0.0000 0.0000 0.0000
Li -2.0311 -2.0289 2.8732
Y 4.0621 4.0197 -0.0343
Y 2.0311 1.9908 2.8389
Y -2.0311 1.9908 2.8389
Pa 0.0000 4.0197 -0.0343
Se 2.0303 6.0686 -0.0218
Se 0.0000 4.0405 2.8503
Se 0.0000 -0.0459 2.8357
Se 6.0939 6.0686 -0.0218
Se -2.0318 -2.0871 5.6996
Se 4.0621 4.0275 2.8421
Se 4.0621 -0.0589 2.8275
Se 2.0318 -2.0871 5.6996
```

Calculated values
DOS at the Fermi energy = 10.1 states/eV/f.u.
total moment = 0.108 μB/atom
DFT total energy = -5.60 eV/atom
uncorrected formation energy = -1576.9 meV per atom



VASP calculation (PBE) on a relaxed structure of RbGeSN2.

Geometry as extended XYZ:
```
5
Lattice="-4.6839 0.1687 -1.6579 -0.1020 -4.9657 -0.2172 -2.0933 -0.2147 5.8925" Properties=species:S:1:pos:R:3 pbc="T T T"
Ge -3.4396 -2.5059 2.0087
S -1.0467 -0.1074 2.9462
Rb 0.0000 0.0000 0.0000
N -0.0510 -2.4829 -0.1086
N -2.3420 0.0843 -0.8289
```

Calculated values
DOS at the Fermi energy = 1.9 states/eV/f.u.
total moment = 1.000 μB/atom
DFT total energy = -2.94 eV/atom
E above lowest polymorph = 7.09 eV per formula unit
uncorrected formation energy = 2331.5 meV per atom



VASP calculation (PBE) on a relaxed structure of CaSc4Pb.

Geometry as extended XYZ:
```
6
Lattice="-1.9975 2.4777 5.2593 -5.7543 2.1241 0.4064 -4.1428 -2.9831 3.4245" Properties=species:S:1:pos:R:3 pbc="T T T"
Ca -8.9210 1.2141 6.8177
Sc -5.4611 1.8419 6.0328
Sc -6.5297 -0.8780 5.1189
Sc -7.3323 1.6658 3.6157
Sc -4.4662 0.6078 3.4132
Pb 0.0000 0.0000 0.0000
```

Calculated values
formation energy = 121.6 meV/atom
DOS at the Fermi energy = 8.9 states/eV/f.u.
total moment = 0.000 μB/atom
DFT total energy = -5.05 eV/atom



VASP calculation (PBE) on a relaxed structure of Sc2AgRh.

Geometry as extended XYZ:
```
8
Lattice="7.3369 0.0000 0.0000 0.0000 7.3369 0.0000 3.6685 3.6685 2.9570" Properties=species:S:1:pos:R:3 pbc="T T T"
Sc 5.2870 1.8342 0.7393
Sc 2.0499 5.5027 0.7393
Sc 5.5027 5.7184 2.2178
Sc 9.1712 8.9555 2.2178
Rh 3.6685 3.6685 0.0000
Rh 3.6685 7.3369 1.4785
Ag 0.0000 0.0000 0.0000
Ag 7.3369 3.6685 1.4785
```

Calculated values
formation energy = -253.8 meV/atom
DOS at the Fermi energy = 2.8 states/eV/f.u.
total moment = 0.000 μB/atom
DFT total energy = -5.97 eV/atom



VASP calculation (PBE) on a relaxed structure of Ac6ZnCo2.

Geometry as extended XYZ:
```
18
Lattice="-7.5089 5.1288 0.5532 4.3177 1.0185 -7.9570 -2.3920 -8.7628 0.6970" Properties=species:S:1:pos:R:3 pbc="T T T"
Ac -2.9103 -3.7263 -4.8129
Ac -2.6729 1.1108 -1.8939
Ac -1.5435 -6.3595 -1.6416
Ac -4.0397 3.7440 -5.0652
Ac -4.1169 -0.1296 -5.2748
Ac -1.4663 -2.4859 -1.4320
Ac -0.4282 -6.6606 -5.3457
Ac -5.1550 4.0451 -1.3611
Ac -5.1968 -2.0416 -1.9789
Ac -0.3864 -0.5739 -4.7279
Ac 0.2810 -3.2580 -7.2442
Ac -5.8642 0.6425 0.5374
Zn 0.9628 -3.8722 -3.6300
Zn 0.0000 0.0000 0.0000
Co -4.1961 -4.8506 -2.2188
Co -1.3871 2.2351 -4.4879
Co -6.6175 -2.4289 0.8356
Co -3.2834 -1.2051 0.4146
```

Calculated values
formation energy = -50.6 meV/atom
DOS at the Fermi energy = 7.9 states/eV/f.u.
total moment = 0.000 μB/atom
DFT total energy = -4.51 eV/atom



VASP calculation (PBE) on a relaxed structure of LaNd5Sm2Sc.

Geometry as extended XYZ:
```
18
Lattice="-2.6767 -4.4652 1.6032 8.2207 1.1901 7.7855 -6.2960 5.8406 5.7552" Properties=species:S:1:pos:R:3 pbc="T T T"
La 0.0183 -2.3990 2.6032
La 2.2770 2.1377 9.7552
Nd 5.0900 -0.7306 6.4633
Nd -3.4232 2.0850 9.3459
Nd 2.1087 3.3855 12.9496
Nd -0.5787 3.4985 8.7775
Nd -3.1706 2.9636 2.9603
Nd -2.7981 0.4724 5.8981
Nd 1.8039 1.2851 6.5908
Nd -2.9630 -0.7251 2.2878
Nd 0.4821 -1.5410 5.7672
Nd 5.4640 -3.2231 9.3998
Sm -0.8474 1.4084 11.7617
Sm -3.1519 4.1719 6.3568
Sm -0.0337 1.2770 3.5002
Sm 2.3246 -1.5364 8.8559
Sc -0.6190 0.1429 8.6187
Sc 2.9093 -0.3997 3.7441
```

Calculated values
formation energy = 126.7 meV/atom
DOS at the Fermi energy = 14.9 states/eV/f.u.
total moment = 0.000 μB/atom
DFT total energy = -4.82 eV/atom



VASP calculation (PBE) on a relaxed structure of Tl4GeBr5.

Geometry as extended XYZ:
```
10
Lattice="6.7051 0.0000 0.0000 3.3526 7.2964 0.0000 3.3526 0.0000 7.2964" Properties=species:S:1:pos:R:3 pbc="T T T"
Tl 6.7762 2.8006 5.7419
Tl 10.1287 5.7419 4.4957
Tl 3.4236 1.5544 2.8006
Tl 6.7762 4.4957 1.5544
Ge 6.6303 0.0000 0.0000
Br 10.1007 2.6428 6.0978
Br 6.7482 6.0978 4.6536
Br 6.7482 1.1985 2.6428
Br 3.3956 4.6536 1.1985
Br 3.0400 0.0000 0.0000
```

Calculated values
DOS at the Fermi energy = 2.2 states/eV/f.u.
total moment = 0.000 μB/atom
DFT total energy = -2.86 eV/atom
uncorrected formation energy = -617.9 meV per atom



VASP calculation (PBE) on a relaxed structure of Zr2ScPb.

Geometry as extended XYZ:
```
4
Lattice="-4.7422 -1.0519 -1.6879 0.4353 -3.1685 0.7516 -1.9715 0.6274 5.1481" Properties=species:S:1:pos:R:3 pbc="T T T"
Pb -0.6342 -1.6929 2.8369
Sc -3.6686 -2.0040 3.7227
Zr -1.8450 0.3625 4.9578
Zr -2.8701 -0.9017 0.7924
```

Calculated values
formation energy = -113.1 meV/atom
DOS at the Fermi energy = 4.1 states/eV/f.u.
total moment = 0.000 μB/atom
DFT total energy = -6.90 eV/atom